[1]
Compound: ErTmZnPd
Source: Alexandria
Functional: PBE
Structure: optimized geometry

Structure (POSCAR):
```
ErTmZnPd
1.0
-1.416 -3.193 -0.367
0.777 -0.729 3.347
-6.142 2.498 1.969
Er Tm Zn Pd
1 1 1 1
direct
0.500 0.500 0.603 Er
0.500 0.500 0.111 Tm
0.000 0.000 0.859 Zn
0.000 0.000 0.354 Pd
```

Summary:
The calculation puts the energy above the most stable polymorph in this dataset at 0.000 eV/atom. Its density is 9.89 g/cm³. As for the crystal system: tetragonal. For the formation energy, the calculation gives -658 meV/atom.


[2]
Compound: ErUPd6
Source: Alexandria
Functional: PBE
Structure: optimized geometry

Structure (POSCAR):
```
ErUPd6
1.0
-2.571 3.206 0.288
-1.199 -0.612 -3.893
-5.969 -5.023 2.627
Pd Er U
6 1 1
direct
0.500 0.500 0.500 Pd
0.500 0.000 0.253 Pd
0.000 0.500 0.253 Pd
0.500 0.500 0.000 Pd
0.000 0.500 0.747 Pd
0.500 0.000 0.747 Pd
0.000 0.000 0.000 Er
0.000 0.000 0.500 U
```

Summary:
Its density is 12.41 g/cm³. As for the crystal system: tetragonal. For the formation energy, the calculation gives -752 meV/atom.


[3]
Compound: ErUPd14
Source: Alexandria
Functional: PBE
Structure: optimized geometry

Structure (POSCAR):
```
ErUPd14
1.0
-2.594 -2.551 -4.500
3.432 -4.616 0.638
-5.230 -3.219 4.840
Pd Er U
14 1 1
direct
0.629 0.121 0.751 Pd
0.121 0.629 0.751 Pd
0.875 0.875 0.000 Pd
0.121 0.121 0.751 Pd
0.875 0.375 0.000 Pd
0.629 0.629 0.751 Pd
0.121 0.121 0.249 Pd
0.629 0.121 0.249 Pd
0.121 0.629 0.249 Pd
0.629 0.629 0.249 Pd
0.375 0.875 0.500 Pd
0.375 0.375 0.000 Pd
0.875 0.375 0.500 Pd
0.375 0.875 0.000 Pd
0.375 0.375 0.500 Er
0.875 0.875 0.500 U
```

Summary:
Its density is 12.02 g/cm³. As for the crystal system: tetragonal. For the formation energy, the calculation gives -402 meV/atom.